[1]
5
Lattice="-1.5119 -1.3560 2.3596 0.2425 -2.7557 -1.4283 5.4436 -3.1990 3.7035" Properties=species:S:1:pos:R:3 comment="PBE-GGA Be2InIr2, relaxed" sg=I4/mmm formation_enthalpy_0k_ev_per_atom=-0.2128 pbc="T T T"
Be 1.6485 -3.3055 3.2644
Be 2.5257 -4.0053 1.3704
Ir 0.8965 -2.3439 1.2814
Ir 3.2776 -4.9669 3.3535
In 0.0000 0.0000 0.0000

[2]
4
Lattice="4.4668 -0.0088 -0.0235 3.5722 2.6818 -0.0235 0.6595 0.2193 5.3982" Properties=species:S:1:pos:R:3 comment="PBE-GGA BeInIr2, relaxed" sg=Cm formation_enthalpy_0k_ev_per_atom=0.0186 pbc="T T T"
Be 4.5552 1.5146 1.9039
Ir 7.8909 2.6238 0.2225
Ir 2.3019 0.7654 1.7408
In 6.3388 2.1077 4.1124

[3]
5
Lattice="4.2098 0.0000 0.0000 0.0000 4.2098 0.0000 0.0000 0.0000 4.2098" Properties=species:S:1:pos:R:3 comment="PBE-GGA BeInIr3, relaxed" sg=Pm-3m formation_enthalpy_0k_ev_per_atom=0.1344 pbc="T T T"
Be 0.0000 0.0000 0.0000
Ir 0.0000 2.1049 0.0000
Ir 0.0000 0.0000 2.1049
Ir 2.1049 0.0000 0.0000
In 2.1049 2.1049 2.1049

[4]
4
Lattice="-1.0264 4.7905 -7.4346 -1.4610 1.9469 -8.5646 -3.8140 3.4676 -7.2598" Properties=species:S:1:pos:R:3 comment="PBE-GGA BeIn2Ir, relaxed" sg=R3m formation_enthalpy_0k_ev_per_atom=0.1441 pbc="T T T"
Be -4.8146 7.7972 -17.7712
Ir -3.0590 4.9541 -11.2911
In -0.0794 0.1286 -0.2930
In -1.4991 2.4278 -5.5333